No. 1
Here is a relaxed structure of SrVCrGe2 from Alexandria via LeMat-Bulk. Energies are from PBE.

Results
N(E_F)   13.46 states/eV per cell
E   -17.0 eV per cell
Calculated density   4.38 Mg/m³

POSCAR file:
```
SrVCrGe2
1.0
5.238 0.000 0.000
0.000 5.238 0.000
0.000 0.000 4.636
Sr V Cr Ge
1 1 1 2
Cartesian
0.000 0.000 0.000
0.000 0.000 2.318
2.619 2.619 2.318
0.000 2.619 0.000
2.619 0.000 0.000
```

No. 2
Here is a relaxed structure of Sc3Ni5 from Alexandria via LeMat-Bulk. Energies are from PBE.

Results
N(E_F)   7.12 states/eV per cell
E   -99.9 eV per cell
Calculated density   5.91 Mg/m³

POSCAR file:
```
Sc3Ni5
1.0
7.701 0.000 0.000
-3.850 6.669 0.000
0.000 0.000 4.689
Sc Ni
6 10
Cartesian
-1.444 2.501 1.172
-2.407 4.168 3.517
2.888 0.000 1.172
1.444 2.501 3.517
4.813 0.000 3.517
2.407 4.168 1.172
-0.722 1.251 3.517
-3.128 5.418 1.172
1.444 0.000 3.517
0.722 1.251 1.172
0.000 4.446 0.000
0.000 4.446 2.345
3.850 2.223 0.000
3.850 2.223 2.345
6.257 0.000 1.172
3.128 5.418 3.517
```

No. 3
Here is a relaxed structure of Pa2Ga2SiRu5 from Alexandria via LeMat-Bulk. Energies are from PBE.

Results
Formation energy without anion corrections   -0.42 eV/atom
N(E_F)   11.72 states/eV per cell
E   -162.1 eV per cell
Calculated density   11.34 Mg/m³

POSCAR file:
```
Pa2Ga2SiRu5
1.0
9.779 0.000 0.000
0.000 9.779 0.000
0.000 0.000 3.475
Pa Ga Si Ru
4 4 2 10
Cartesian
1.695 3.195 0.000
3.195 8.084 0.000
6.585 1.695 0.000
8.084 6.585 0.000
1.229 6.119 0.000
3.661 1.229 0.000
6.119 8.550 0.000
8.550 3.661 0.000
0.000 0.000 0.000
4.890 4.890 0.000
0.000 4.890 1.737
0.805 7.877 1.737
1.902 0.805 1.737
2.988 5.694 1.737
4.085 2.988 1.737
4.890 0.000 1.737
5.694 6.792 1.737
6.792 4.085 1.737
7.877 8.975 1.737
8.975 1.902 1.737
```

No. 4
Here is a relaxed structure of Y2BiH2 from Alexandria via LeMat-Bulk. Energies are from PBE.

Results
N(E_F)   2.55 states/eV per cell
E   -27.1 eV per cell
Calculated density   7.07 Mg/m³

POSCAR file:
```
Y2BiH2
1.0
-1.978 1.978 5.832
1.978 -1.978 5.832
1.978 1.978 -5.832
Y Bi H
2 1 2
Cartesian
0.000 0.000 1.752
0.000 0.000 9.913
0.000 0.000 5.832
1.978 0.000 2.916
0.000 1.978 2.916
```

Look up the calculated density of the fourth one.
7.07 Mg/m³